Compound: HgSb2Te
Source: Alexandria
Functional: PBE
Structure: optimized geometry

```
HgSb2Te
1.0
3.208 0.057 0.000
-0.928 3.071 0.000
0.000 0.000 11.676
Sb Hg Te
2 1 1
Cartesian
1.140 1.564 2.704
0.000 0.000 0.208
1.140 1.564 8.864
0.000 0.000 5.738
```

Uncorrected formation energy (eV per atom): 0.179
Crystal system: orthorhombic
Excess energy over the best structure of this formula in the dataset (meV/atom): 145
V (Å³/atom): 28.9
Space group: Cmm2, No. 35